! HoHfNi PBE relaxed; values from VASP
! **Symmetry**: No. 57
! **Excess energy over the best structure of this formula in the dataset**: 0 meV per atom
! **Crystal system**: orthorhombic
! **M_tot**: 0.00 Bohr magnetons per cell
! **Electronic total energy**: -7.101 eV per atom
! **Volume**: 21.5 Å³/atom
! **Energy of formation from the pure elements**: -0.99 eV per formula unit
&SYSTEM
  ibrav = 0, nat = 12, ntyp = 3
/
ATOMIC_SPECIES
Ho 164.93 Ho.upf
Ni 58.69 Ni.upf
Hf 178.49 Hf.upf
CELL_PARAMETERS angstrom
-0.380 1.695 6.182
-3.062 -5.345 1.277
5.578 -2.920 1.144
ATOMIC_POSITIONS angstrom
Ho 2.982 -4.119 1.789
Ho -0.846 -2.451 6.814
Ho 0.057 -2.054 3.425
Ho 2.079 -4.516 5.178
Ni 3.411 -2.414 4.055
Ni 1.341 -4.846 7.930
Ni 0.795 -1.724 0.673
Ni -1.275 -4.156 4.548
Hf -0.411 1.051 4.689
Hf -0.242 -6.162 3.342
Hf 2.378 -0.408 5.261
Hf 2.547 -7.621 3.914

---

! Ta2InCl PBE relaxed; values from VASP
! **Symmetry**: No. 10
! **Excess energy over the best structure of this formula in the dataset**: 517 meV per atom
! **Crystal system**: monoclinic
! **M_tot**: 0.00 Bohr magnetons per cell
! **E_form (uncorrected)**: 37.5 kJ per mole of atoms
! **Electronic total energy**: -6.684 eV per atom
! **Volume**: 19.0 Å³/atom
&SYSTEM
  ibrav = 0, nat = 4, ntyp = 3
/
ATOMIC_SPECIES
Ta 180.95 Ta.upf
In 114.82 In.upf
Cl 35.45 Cl.upf
CELL_PARAMETERS angstrom
4.248 0.000 0.000
0.000 2.978 0.003
0.000 0.471 6.010
ATOMIC_POSITIONS angstrom
Ta 0.000 0.581 0.105
Ta 0.000 1.144 2.902
In 2.124 2.587 4.510
Cl 2.124 0.862 1.503

---

! LiPmAlZn2 PBE relaxed; values from VASP
! **Symmetry**: No. 119
! **Crystal system**: tetragonal
! **M_tot**: 0.00 Bohr magnetons per cell
! **Electronic total energy**: -2.882 eV per atom
! **Volume**: 19.6 Å³/atom
! **Energy of formation from the pure elements**: -1.46 eV per formula unit
&SYSTEM
  ibrav = 0, nat = 5, ntyp = 4
/
ATOMIC_SPECIES
Li 6.94 Li.upf
Pm 145.00 Pm.upf
Zn 65.41 Zn.upf
Al 26.98 Al.upf
CELL_PARAMETERS angstrom
4.276 0.000 0.000
0.000 4.276 0.000
-2.138 -2.138 5.353
ATOMIC_POSITIONS angstrom
Li 2.138 0.000 2.677
Pm 0.000 0.000 0.000
Zn 2.138 2.138 1.236
Zn 0.000 0.000 4.118
Al 0.000 2.138 2.677

---

Question: Among the records above, which one has the lowest electronic total energy?
Answer: HoHfNi